[1]
Li4CdIn2Hg PBE optimized geometry; DFT total energy = -2.093 eV per atom; SG = P-4m2, No. 115
1.0
4.7192 0.0000 0.0000
0.0000 4.7192 0.0000
0.0000 0.0000 6.6589
Li Hg In Cd
4 1 2 1
Direct
0.5000 0.5000 0.5000 Li
0.5000 0.0000 0.7509 Li
0.0000 0.0000 0.0000 Li
0.0000 0.5000 0.2491 Li
0.5000 0.5000 0.0000 Hg
0.5000 0.0000 0.2512 In
0.0000 0.5000 0.7488 In
0.0000 0.0000 0.5000 Cd

[2]
LiCdInHg PBE optimized geometry; DFT total energy = -1.620 eV per atom; SG = F-43m, No. 216
1.0
-4.2205 -2.6494 0.0104
-3.7472 1.2947 3.0190
-4.1717 1.9519 -1.9023
Hg Cd In Li
1 1 1 1
Direct
0.0000 0.0000 0.0000 Hg
0.5000 0.5000 0.5000 Cd
0.2500 0.2500 0.2500 In
0.7500 0.7500 0.7500 Li

[3]
LiCdInHg PBE optimized geometry; DFT total energy = -1.585 eV per atom; SG = F-43m, No. 216
1.0
2.1179 1.5684 4.2172
-2.8251 1.0971 3.9428
0.0594 -2.9534 4.0005
In Cd Li Hg
1 1 1 1
Direct
0.5000 0.5000 0.5000 In
0.0000 0.0000 0.0000 Cd
0.7500 0.7500 0.7500 Li
0.2500 0.2500 0.2500 Hg

[4]
Tm3Mg3CdInHg PBE optimized geometry; DFT total energy = -2.773 eV per atom; SG = P-6, No. 174
1.0
7.4203 0.0000 0.0000
-3.7101 6.4261 0.0000
0.0000 0.0000 4.5774
Mg Tm Hg Cd In
3 3 1 1 1
Direct
0.9088 0.3361 0.0000 Mg
0.4273 0.0912 0.0000 Mg
0.6639 0.5727 0.0000 Mg
0.0863 0.7530 0.5000 Tm
0.2470 0.3333 0.5000 Tm
0.6667 0.9137 0.5000 Tm
0.6667 0.3333 0.5000 Hg
0.3333 0.6667 0.0000 Cd
0.0000 0.0000 0.0000 In